one) Crystalline PrTh2Pt at its relaxed geometry. Source: Alexandria, functional PBE-GGA.

Total magnetization: 0.1639 μB per atom
Space-group type: No. 166

a b c (Å): 3.8200 3.8200 10.7507
angles (deg): 79.77 79.77 60.00
With the nearest neighbours (Å) after each atom.
Sites, in units of the cell vectors:
Pr 0.0000 0.0000 0.0000  2 Th 3.38
Pt 0.5000 0.5000 0.5000  6 Th 2.90
Th 0.1071 0.1071 0.6788  3 Pt 2.90
Th 0.8929 0.8929 0.3212  3 Pt 2.90

***

two) Crystalline PrTh2Pt at its relaxed geometry. Source: Alexandria, functional PBE-GGA.

Total magnetization: 0.0000 μB per atom
Space-group type: No. 63

a b c (Å): 3.8454 6.3213 10.1947
angles (deg): 90.00 90.00 107.73
With the nearest neighbours (Å) after each atom.
Sites, in units of the cell vectors:
Pr 0.9184 0.8372 0.2500  3 Pt 3.17-3.50
Pr 0.0816 0.1628 0.7500  3 Pt 3.17-3.50
Th 0.3621 0.7252 0.5526  2 Pt 2.92
Th 0.6379 0.2748 0.4474  2 Pt 2.92
Th 0.3621 0.7252 0.9474  2 Pt 2.92
Th 0.6379 0.2748 0.0526  2 Pt 2.92
Pt 0.7901 0.5811 0.7500  4 Th 2.92, 2 Pr 3.17
Pt 0.2099 0.4189 0.2500  4 Th 2.92, 2 Pr 3.17

***

Most stable: two) (next structure +390 meV per atom)

***

one) Crystalline PrTh2Pt at its relaxed geometry. Source: Alexandria, functional PBE-GGA.

Total magnetization: 0.0000 μB per atom
Space-group type: No. 123

a b c (Å): 3.7183 3.7183 8.3880
angles (deg): 90.00 90.00 90.00
With the nearest neighbours (Å) after each atom.
Sites, in units of the cell vectors:
Pr 0.5000 0.5000 0.5000  8 Th 3.64, 4 Pr 3.72
Pt 0.5000 0.5000 0.0000  8 Th 3.12
Th 0.0000 0.0000 0.8006  4 Pt 3.12, 1 Th 3.35
Th 0.0000 0.0000 0.1994  4 Pt 3.12, 1 Th 3.35

***

two) Crystalline PrTh2Pt at its relaxed geometry. Source: Alexandria, functional PBE-GGA.

Total magnetization: 0.0000 μB per atom
Space-group type: No. 160

a b c (Å): 3.9221 3.9221 9.7705
angles (deg): 78.42 78.42 60.00
With the nearest neighbours (Å) after each atom.
Sites, in units of the cell vectors:
Pr 0.4988 0.4988 0.5035  6 Th 3.64-3.72, 6 Pr 3.92
Th 0.0653 0.0653 0.8040  3 Pt 2.93
Th 0.2690 0.2690 0.1929  3 Pt 2.92
Pt 0.6668 0.6668 0.9996  6 Th 2.92-2.93

***

Most stable: one) (next structure +45 meV per atom)

***

one) Crystalline PrTiPt2 at its relaxed geometry. Source: Alexandria, functional PBE-GGA.

Total magnetization: 0.0000 μB per atom
Space-group type: No. 123

a b c (Å): 3.2455 3.2455 7.4175
angles (deg): 90.00 90.00 90.00
With the nearest neighbours (Å) after each atom.
Sites, in units of the cell vectors:
Pr 0.5000 0.5000 0.5000  8 Pt 3.23, 4 Pr 3.25
Pt 0.0000 0.0000 0.8066  4 Ti 2.71, 1 Pt 2.87
Pt 0.0000 0.0000 0.1934  4 Ti 2.71, 1 Pt 2.87
Ti 0.5000 0.5000 0.0000  8 Pt 2.71

***

two) Crystalline PrTiPt2 at its relaxed geometry. Source: Alexandria, functional PBE-GGA.

Total magnetization: 0.0000 μB per atom
Space-group type: No. 166

a b c (Å): 4.4201 4.4201 5.6786
angles (deg): 67.10 67.10 60.00
With the nearest neighbours (Å) after each atom.
Sites, in units of the cell vectors:
Pr 0.5000 0.5000 0.5000  8 Pt 3.17-3.20
Pt 0.7102 0.7102 0.8695  3 Ti 2.64, 3 Pt 2.87
Pt 0.2898 0.2898 0.1305  3 Ti 2.64, 3 Pt 2.87
Ti 0.0000 0.0000 0.0000  6 Pt 2.64

***

Most stable: two) (next structure +50 meV per atom)

***

one) Crystalline Pr5Tl2Pt at its relaxed geometry. Source: Alexandria, functional PBE-GGA.

Total magnetization: 0.0000 μB per atom
Space-group type: No. 107

a b c (Å): 7.3060 7.3060 6.8723
angles (deg): 122.11 122.11 90.00
With the nearest neighbours (Å) after each atom.
Sites, in units of the cell vectors:
Pr 0.7319 0.2320 0.9639  1 Pt 2.97
Pr 0.2316 0.2316 0.9633  1 Pt 2.97
Pr 0.7318 0.7318 0.9634  1 Pt 2.97
Pr 0.2320 0.7319 0.9640  1 Pt 2.97
Pr 0.7415 0.7415 0.4830  8 Pr 3.38-3.50, 1 Pt 3.65, 4 Tl 3.65
Tl 0.2322 0.7321 0.4644  10 Pr 3.43-3.65, 2 Pt 3.74
Tl 0.7321 0.2322 0.4644  10 Pr 3.43-3.65, 2 Pt 3.74
Pt 0.1439 0.1439 0.2877  4 Pr 2.97

***

two) Crystalline Pr5Tl2Pt at its relaxed geometry. Source: Alexandria, functional PBE-GGA.

Total magnetization: 0.0000 μB per atom
Space-group type: No. 55

a b c (Å): 4.9055 7.9768 12.8442
angles (deg): 90.00 90.00 90.00
With the nearest neighbours (Å) after each atom.
Sites, in units of the cell vectors:
Pr 0.0000 0.0000 0.5000  4 Tl 3.32, 4 Pr 3.65
Pr 0.0000 0.5000 0.0000  4 Tl 3.32, 4 Pr 3.65
Pr 0.0000 0.8617 0.2088  1 Pt 2.90
Pr 0.0000 0.1383 0.7912  1 Pt 2.90
Pr 0.0000 0.6383 0.7088  1 Pt 2.90
Pr 0.0000 0.3617 0.2912  1 Pt 2.90
Pr 0.5000 0.6818 0.4268  2 Pt 3.00
Pr 0.5000 0.3182 0.5732  2 Pt 3.00
Pr 0.5000 0.8182 0.9268  2 Pt 3.00
Pr 0.5000 0.1818 0.0732  2 Pt 3.00
Tl 0.5000 0.5800 0.1670  9 Pr 3.32-3.62
Tl 0.5000 0.4200 0.8330  9 Pr 3.32-3.62
Tl 0.5000 0.9200 0.6670  9 Pr 3.32-3.62
Tl 0.5000 0.0800 0.3330  9 Pr 3.32-3.62
Pt 0.0000 0.5000 0.5000  6 Pr 2.90-3.00
Pt 0.0000 0.0000 0.0000  6 Pr 2.90-3.00

***

Most stable: two) (next structure +158 meV per atom)

***

one) Crystalline PrTm3Pt2 at its relaxed geometry. Source: Alexandria, functional PBE-GGA.

Total magnetization: 0.0000 μB per atom
Space-group type: No. 12

a b c (Å): 5.0152 9.3011 8.3002
angles (deg): 122.35 90.00 105.64
With the nearest neighbours (Å) after each atom.
Sites, in units of the cell vectors:
Pr 0.8404 0.6808 0.9401  3 Pt 3.02-3.25
Pr 0.1596 0.3192 0.0599  3 Pt 3.02-3.25
Tm 0.3114 0.6227 0.6139  2 Pt 2.75-2.79
Tm 0.9416 0.8832 0.6362  3 Pt 2.81-2.85
Tm 0.6120 0.2239 0.7083  3 Pt 2.78-2.89
Tm 0.3880 0.7761 0.2917  3 Pt 2.78-2.89
Tm 0.0584 0.1168 0.3638  3 Pt 2.81-2.85
Tm 0.6886 0.3773 0.3861  2 Pt 2.75-2.79
Pt 0.4958 0.9917 0.8315  1 Pt 2.72, 4 Tm 2.75-2.85
Pt 0.5042 0.0083 0.1685  1 Pt 2.72, 4 Tm 2.75-2.85
Pt 0.7981 0.5962 0.2447  4 Tm 2.79-2.89, 1 Pr 3.02
Pt 0.2019 0.4038 0.7553  4 Tm 2.79-2.89, 1 Pr 3.02

***

two) Crystalline PrTm3Pt2 at its relaxed geometry. Source: Alexandria, functional PBE-GGA.

Total magnetization: 0.0000 μB per atom
Space-group type: No. 26

a b c (Å): 4.7623 7.1524 8.8134
angles (deg): 90.00 90.00 90.00
With the nearest neighbours (Å) after each atom.
Sites, in units of the cell vectors:
Pr 0.5000 0.5096 0.5791  3 Pt 2.94-3.11
Pr 0.5000 0.0096 0.4209  3 Pt 2.94-3.11
Tm 0.0000 0.4885 0.9224  3 Pt 2.83-3.09
Tm 0.0000 0.9885 0.0776  3 Pt 2.83-3.09
Tm 0.5000 0.6442 0.1652  4 Pt 2.83-2.91
Tm 0.5000 0.1442 0.8348  4 Pt 2.83-2.91
Tm 0.0000 0.3581 0.3205  4 Pt 2.81-3.13
Tm 0.0000 0.8581 0.6795  4 Pt 2.81-3.13
Pt 0.5000 0.7486 0.8499  6 Tm 2.83-3.09, 1 Pr 2.94
Pt 0.5000 0.2486 0.1501  6 Tm 2.83-3.09, 1 Pr 2.94
Pt 0.0000 0.2510 0.6651  5 Tm 2.81-3.13, 2 Pr 3.11
Pt 0.0000 0.7510 0.3349  5 Tm 2.81-3.13, 2 Pr 3.11

***

Most stable: two) (next structure +155 meV per atom)

***

one) Crystalline PrTmPt2 at its relaxed geometry. Source: Alexandria, functional PBE-GGA.

Total magnetization: 0.0000 μB per atom
Space-group type: No. 160

a b c (Å): 4.0727 4.0727 7.3711
angles (deg): 73.96 73.96 60.00
With the nearest neighbours (Å) after each atom.
Sites, in units of the cell vectors:
Pr 0.4972 0.4972 0.5084  6 Pt 2.96-3.04
Tm 0.6693 0.6693 0.9922  6 Pt 2.83-2.89
Pt 0.0779 0.0779 0.7663  3 Tm 2.83, 3 Pr 2.96
Pt 0.2556 0.2556 0.2331  3 Tm 2.89, 3 Pr 3.04

***

two) Crystalline PrTmPt2 at its relaxed geometry. Source: Alexandria, functional PBE-GGA.

Total magnetization: 0.0000 μB per atom
Space-group type: No. 38

a b c (Å): 3.8353 4.5254 5.6866
angles (deg): 90.00 109.76 90.00
With the nearest neighbours (Å) after each atom.
Sites, in units of the cell vectors:
Pr 0.4435 0.5000 0.4262  7 Pt 2.91-3.11
Tm 0.7185 0.0000 0.9760  7 Pt 2.98-3.05
Pt 0.1718 0.5000 0.8826  3 Pr 2.91-3.11, 2 Pt 2.94, 4 Tm 3.01
Pt 0.9972 0.0000 0.5332  2 Pt 2.94, 3 Tm 2.98-3.05, 4 Pr 3.02

***

Most stable: two) (next structure +169 meV per atom)